Compound: HgBTe2
Source: Alexandria
Functional: PBE-GGA
Structure: relaxed

Properties
Uncorrected energy in eV/atom: -2.808
SG: R-3m (166)
D(E_F) in states/eV/cell: 1.15
Relative energy among the computed polymorphs in eV/f.u.: 0.75
Formation energy without anion corrections in eV/atom: 0.508

Unit cell a=11.0305 b=11.0305 c=11.0305 alpha=17.86 beta=17.86 gamma=17.86
Last column: nearest neighbours and their distance in Å.
Sites, in units of the cell vectors:
B  0.5000  0.5000  0.5000  6 Te 2.49
Te  0.8796  0.8796  0.8796  3 B 2.49
Te  0.1204  0.1204  0.1204  3 B 2.49
Hg  0.0000  0.0000  0.0000  6 Hg 3.42


Compound: HgBTe3
Source: Alexandria
Functional: PBE-GGA
Structure: relaxed

Properties
Uncorrected energy in eV/atom: -2.620
SG: Pm-3m (221)
D(E_F) in states/eV/cell: 4.62
Relative energy among the computed polymorphs in eV/f.u.: 0.00
Formation energy without anion corrections in eV/atom: 0.661

Unit cell a=4.9654 b=4.9654 c=4.9654 alpha=90.00 beta=90.00 gamma=90.00
Last column: nearest neighbours and their distance in Å.
Sites, in units of the cell vectors:
B  0.0000  0.0000  0.0000  6 Te 2.48
Te  0.0000  0.5000  0.0000  2 B 2.48
Te  0.0000  0.0000  0.5000  2 B 2.48
Te  0.5000  0.0000  0.0000  2 B 2.48
Hg  0.5000  0.5000  0.5000  12 Te 3.51


Compound: ZrHgBTe2
Source: Alexandria
Functional: PBE-GGA
Structure: relaxed

Properties
Uncorrected energy in eV/atom: -3.459
SG: P4/mmm (123)
D(E_F) in states/eV/cell: 3.73
Formation energy without anion corrections in eV/atom: 0.903

Unit cell a=5.5835 b=5.6389 c=5.5835 alpha=90.00 beta=90.00 gamma=90.00
Last column: nearest neighbours and their distance in Å.
Sites, in units of the cell vectors:
B  0.5000  0.5000  0.5000  4 Hg 3.95, 8 Te 3.97
Te  0.0000  0.0000  0.5000  2 Zr 2.79
Te  0.5000  0.0000  0.0000  2 Zr 2.79
Hg  0.0000  0.5000  0.0000  2 Zr 2.82
Zr  0.0000  0.0000  0.0000  4 Te 2.79, 2 Hg 2.82


Compound: Th4Hg2B
Source: Alexandria
Functional: PBE-GGA
Structure: relaxed

Properties
Uncorrected energy in eV/atom: -5.320
SG: I4/mmm (139)
D(E_F) in states/eV/cell: 7.77
Formation energy from the elements in eV/atom: -0.040

Unit cell a=5.1708 b=5.1708 c=8.5379 alpha=107.63 beta=107.63 gamma=90.00
Last column: nearest neighbours and their distance in Å.
Sites, in units of the cell vectors:
B  0.0000  0.0000  0.0000  6 Th 2.59-2.61
Hg  0.6317  0.6317  0.2634  5 Th 3.08-3.29
Hg  0.3683  0.3683  0.7366  5 Th 3.08-3.29
Th  0.8310  0.8310  0.6620  1 B 2.61
Th  0.1690  0.1690  0.3380  1 B 2.61
Th  0.0000  0.5000  0.0000  2 B 2.59
Th  0.5000  0.0000  0.0000  2 B 2.59